Li7AgSb4 | Alexandria via LeMat-Bulk | PBE-GGA | relaxed; ΔE_f (raw) = -4.1 eV per formula unit; density of states at the Fermi level = 0.18 states/eV/atom; size of the total moment = 0.00 μB per formula unit
1.0
6.1207 -2.4860 0.0000
6.1207 2.4860 0.0000
-6.0088 0.0000 8.3737
Li Ag Sb
7 1 4
Cartesian
0.0000 0.0000 0.0000 Li
-3.1634 0.0000 7.5217 Li
-0.9731 0.0000 5.5536 Li
1.7252 0.0000 4.6552 Li
4.5074 0.0000 3.7185 Li
7.2056 0.0000 2.8201 Li
9.3959 0.0000 0.8520 Li
6.1207 0.0000 0.0000 Ag
-0.6040 0.0000 2.6175 Sb
2.2877 0.0000 1.9010 Sb
3.9448 0.0000 6.4726 Sb
6.8366 0.0000 5.7561 Sb